This record from Alexandria describes crystalline K5Na3TaNb7O24 at its relaxed geometry. The functional is PBE.

extended XYZ file:
```
40
Lattice="8.1729 0.0308 -0.0060 0.0311 8.1729 -0.0060 -0.0064 -0.0064 8.0131" Properties=species:S:1:pos:R:3 pbc="T T T"
K 6.1749 6.1747 5.9872
K 6.1669 2.1006 5.9946
K 2.1009 6.1668 5.9946
K 2.0787 2.0786 6.0047
K 2.0802 2.0802 1.9900
Na 6.3405 6.3403 1.9650
Na 6.3207 2.2677 1.9470
Na 2.2679 6.3206 1.9470
Ta 0.0681 0.0681 0.0035
Nb 0.0825 0.0825 3.9854
Nb 0.0957 4.1722 7.9972
Nb 0.0957 4.1857 3.9587
Nb 4.1722 0.0956 7.9972
Nb 4.1857 0.0956 3.9587
Nb 4.1924 4.1922 7.9976
Nb 4.1907 4.1906 3.9508
O 6.1200 8.1331 0.0501
O 6.1043 8.1247 3.9606
O 6.0881 4.0646 0.0511
O 6.0808 4.0546 3.9776
O 2.0057 8.1199 0.0322
O 2.0074 8.1175 3.9858
O 1.9925 4.0749 0.0274
O 1.9866 4.0609 4.0032
O 8.1334 6.1197 0.0501
O 8.1249 6.1040 3.9606
O 8.1200 2.0054 0.0322
O 8.1176 2.0071 3.9858
O 4.0648 6.0880 0.0511
O 4.0548 6.0806 3.9776
O 4.0749 1.9923 0.0274
O 4.0610 1.9865 4.0032
O 8.1368 8.1365 6.0199
O 8.1249 8.1246 1.9947
O 8.1143 4.0750 6.0201
O 8.0800 4.0260 2.0062
O 4.0752 8.1142 6.0201
O 4.0263 8.0799 2.0062
O 4.0494 4.0493 6.0262
O 4.0208 4.0206 2.0107
```

Calculated values
formation energy without anion corrections = -2457 meV/atom
total magnetic moment = 0.00 μB per formula unit